LiBe2Au9: optimized geometry, PBE.

The space group is I4_1/amd (No. 141, origin choice 2) and the conventional cell measures 11.1041, 11.1041 and 6.8719 Å, with angles of 90.00, 90.00 and 90.00 degrees. The asymmetric unit holds Li at (0.0000, 0.2500, 0.3750), Be at (0.0000, 0.0000, 0.0000), Au at (0.0000, 0.2500, 0.8750) and Au at (0.1246, 0.0719, 0.6660).

The volume is 17.65 Å³ per atom. For the total energy, the calculation gives -158.0 eV for the cell shown. The formation energy from the elements is -54 meV per atom. For the density of states at the Fermi level, the calculation gives 3.42 states/eV/f.u.


LiBe6Au6: optimized geometry, PBE.

The space group is Immm (No. 71) and the conventional cell measures 4.8636, 8.3549 and 8.4972 Å, with angles of 90.00, 90.00 and 90.00 degrees. The asymmetric unit holds Li at (0.0000, 0.0000, 0.0000), Be at (0.0000, 0.2608, 0.5000), Be at (0.2500, 0.2500, 0.2500), Au at (0.0000, 0.0000, 0.3355), Au at (0.0000, 0.3230, 0.0000) and Au at (0.0000, 0.5000, 0.3335).

The volume is 13.28 Å³ per atom. For the total energy, the calculation gives -93.3 eV for the cell shown. The formation energy from the elements is -210 meV per atom. The polymorph energy (0 for the lowest one) comes out at 6 meV/atom. For the density of states at the Fermi level, the calculation gives 3.57 states/eV/f.u.


LiBe2Au: optimized geometry, PBE.

The space group is Pmmm (No. 47) and the conventional cell measures 3.4263, 3.6683 and 3.7066 Å, with angles of 90.00, 90.00 and 90.00 degrees. The asymmetric unit holds Li at (0.0000, 0.0000, 0.0000), Be at (0.5000, 0.0000, 0.5000), Be at (0.5000, 0.5000, 0.0000) and Au at (0.0000, 0.5000, 0.5000).

The volume is 11.65 Å³ per atom. For the total energy, the calculation gives -12.9 eV for the cell shown. The formation energy from the elements is -75 meV per atom. The polymorph energy (0 for the lowest one) comes out at 131 meV/atom. For the density of states at the Fermi level, the calculation gives 1.55 states/eV/f.u.